Entry 1:
The following is a PBE calculation of crystalline PuZn2Ru at its relaxed geometry, from Alexandria.

Computed properties:
DFT total energy: -6.4245 eV/atom
space-group type: Fm-3m, No. 225
total magnetization: 4.59 μB per formula unit
DFT formation energy: 0.114 eV per atom

Structure (POSCAR):
```
PuZn2Ru
1.0
-2.8425 3.2944 1.6148
-3.9089 1.0171 -2.2861
-4.1137 -1.1647 1.8045
Ru Zn Pu
1 2 1
Cartesian
0.0000 0.0000 0.0000 Ru
-8.1486 2.3605 0.8496 Zn
-2.7166 0.7863 0.2836 Zn
-5.4326 1.5734 0.5666 Pu
```

***

Entry 2:
The following is a PBE calculation of crystalline NaGdPdPb at its relaxed geometry, from Alexandria.

Computed properties:
DFT total energy: -6.4218 eV/atom
space-group type: F-43m, No. 216
total magnetization: 7.10 μB per formula unit
DFT formation energy: -0.347 eV per atom

Structure (POSCAR):
```
NaGdPdPb
1.0
-3.1378 -2.6705 -3.0815
1.5261 -1.2735 -4.7457
1.0660 -4.9050 -1.1301
Pb Na Gd Pd
1 1 1 1
Cartesian
-0.2728 -4.4245 -4.4786 Pb
-0.1364 -2.2123 -2.2393 Na
-0.4093 -6.6368 -6.7180 Gd
0.0000 0.0000 0.0000 Pd
```

***

Entry 3:
The following is a PBE calculation of crystalline VSiB at its relaxed geometry, from Alexandria.

Computed properties:
DFT total energy: -7.4167 eV/atom
space-group type: C2/m, No. 12
total magnetization: 0.00 μB per formula unit
uncorrected formation energy: -0.344 eV/atom
energy above the most stable polymorph in this dataset: 0.0 meV/atom

Structure (POSCAR):
```
VSiB
1.0
-1.1358 -2.7479 -0.4620
3.1490 -0.2170 3.3159
-4.4547 1.4192 2.5370
B V Si
2 2 2
Cartesian
0.8499 -2.2932 1.7344 B
-3.2914 0.7475 3.6564 B
0.1213 -0.5658 3.0495 V
-2.5627 -0.9798 2.3413 V
-1.5834 -1.7473 4.4752 Si
-0.8580 0.2017 0.9156 Si
```

***

Entry 4:
The following is a PBE calculation of crystalline Ba3Nd3YSe8 at its relaxed geometry, from Alexandria.

Computed properties:
DFT total energy: -5.5700 eV/atom
space-group type: R-3m, No. 166
total magnetization: 0.00 μB per formula unit
uncorrected formation energy: -1.942 eV/atom

Structure (POSCAR):
```
Ba3Nd3YSe8
1.0
-6.3997 -2.8661 -5.0352
2.1432 -4.3414 7.1475
-4.2606 7.9471 0.8917
Ba Nd Y Se
3 3 1 8
Cartesian
0.0000 0.0000 0.0000 Ba
1.0716 -2.1707 3.5737 Ba
-2.1283 -3.6037 1.0561 Ba
-5.3301 2.5405 -2.0718 Nd
-4.2586 0.3698 1.5020 Nd
-1.0587 1.8028 4.0196 Nd
-2.1303 3.9735 0.4458 Y
-1.7260 -0.7897 2.6433 Se
-6.7911 1.5293 0.3607 Se
-4.9741 -2.2353 0.1942 Se
-3.5430 2.9750 2.8097 Se
-6.0709 -0.0103 -3.4586 Se
-2.4462 0.7499 6.4625 Se
-2.8018 1.4538 -0.8864 Se
-5.7154 -0.7142 3.8904 Se
```

***

Entry 5:
The following is a PBE calculation of crystalline Tl2InAgI4 at its relaxed geometry, from Alexandria.

Computed properties:
DFT total energy: -2.5230 eV/atom
space-group type: P2/m, No. 10
total magnetization: 0.00 μB per formula unit
uncorrected formation energy: -0.458 eV/atom

Structure (POSCAR):
```
Tl2InAgI4
1.0
4.8630 0.0000 0.0000
0.0001 8.3593 -0.2036
0.0000 2.9041 7.8120
Tl In Ag I
2 1 1 4
Cartesian
0.0000 2.9041 7.8120 Tl
2.4315 1.4521 3.9060 Tl
2.4315 4.1797 -0.1018 In
0.0000 5.6317 3.8042 Ag
0.0001 8.1048 5.4990 I
4.8630 3.1586 2.1094 I
2.4316 6.8756 1.9497 I
2.4315 4.3878 5.6587 I
```

***

Entry 6:
The following is a PBE calculation of crystalline Cs2Tl2Ga at its relaxed geometry, from Alexandria.

Computed properties:
DFT total energy: -1.8319 eV/atom
space-group type: P4/mbm, No. 127
total magnetization: 0.00 μB per formula unit
DFT formation energy: 0.061 eV per atom
energy above the most stable polymorph in this dataset: 127.7 meV/atom

Structure (POSCAR):
```
Cs2Tl2Ga
1.0
7.9304 0.0000 0.0000
0.0000 7.9304 0.0000
0.0000 0.0000 6.5884
Cs Tl Ga
4 4 2
Cartesian
1.4107 5.3759 3.2942 Cs
5.3759 6.5197 3.2942 Cs
6.5197 2.5545 3.2942 Cs
2.5545 1.4107 3.2942 Cs
2.8171 6.7823 0.0000 Tl
6.7823 5.1133 0.0000 Tl
5.1133 1.1481 0.0000 Tl
1.1481 2.8171 0.0000 Tl
0.0000 0.0000 0.0000 Ga
3.9652 3.9652 0.0000 Ga
```

***

Entry 7:
The following is a PBE calculation of crystalline ScTlBP2 at its relaxed geometry, from Alexandria.

Computed properties:
DFT total energy: -4.0428 eV/atom
space-group type: P4/mmm, No. 123
total magnetization: 0.00 μB per formula unit
DFT formation energy: 1.196 eV per atom

Structure (POSCAR):
```
ScTlBP2
1.0
5.2617 0.0000 0.0000
0.0000 4.0896 0.0000
0.0000 0.0000 5.2617
Sc P Tl B
1 2 1 1
Cartesian
2.6309 2.0448 2.6309 Sc
0.0000 0.0000 2.6309 P
2.6309 0.0000 0.0000 P
0.0000 0.0000 0.0000 Tl
0.0000 2.0448 0.0000 B
```

***

Entry 8:
The following is a PBE calculation of crystalline BiAs2OsSe at its relaxed geometry, from Alexandria.

Computed properties:
DFT total energy: -5.1067 eV/atom
space-group type: P4/mmm, No. 123
total magnetization: 0.00 μB per formula unit
uncorrected formation energy: 0.472 eV/atom
energy above the most stable polymorph in this dataset: 0.0 meV/atom

Structure (POSCAR):
```
BiAs2OsSe
1.0
-4.6562 -0.1139 0.5582
0.3479 -4.2080 2.0437
0.5265 2.4156 4.8843
As Os Bi Se
2 1 1 1
Cartesian
0.1740 -2.1040 1.0218 As
-2.3281 -0.0569 0.2791 As
0.0000 0.0000 0.0000 Os
-1.8909 -0.9531 3.7431 Bi
0.2632 1.2078 2.4421 Se
```

***

Entry 9:
The following is a PBE calculation of crystalline CdGaGe2O6 at its relaxed geometry, from Alexandria.

Computed properties:
DFT total energy: -5.7423 eV/atom
space-group type: C2/c, No. 15
total magnetization: 0.00 μB per formula unit
uncorrected formation energy: -1.450 eV/atom

Structure (POSCAR):
```
CdGaGe2O6
1.0
5.8209 0.0225 0.0233
1.8935 7.0721 -0.1110
1.8935 -0.3730 7.0631
Cd Ga Ge O
2 2 4 12
Cartesian
3.3487 6.2573 0.6854 Cd
6.2592 0.4643 6.2901 Cd
3.3487 1.2340 5.5259 Ga
6.2592 5.4876 1.4496 Ga
4.3891 5.2230 4.2243 Ge
2.3084 2.6825 1.5879 Ge
5.2188 1.4986 2.7512 Ge
7.2995 4.0391 5.3876 Ge
4.3608 6.5802 5.4601 O
2.3366 1.4979 0.1858 O
5.2471 0.1414 1.5154 O
7.2713 5.2237 6.7897 O
4.7779 5.7788 2.5569 O
1.9195 4.3694 1.0943 O
4.8300 0.9428 4.4186 O
7.6884 2.3522 5.8813 O
2.6839 4.6197 4.1678 O
4.0135 2.7166 2.1928 O
6.9240 2.1019 2.8077 O
5.5944 4.0050 4.7827 O
```

***

Entry 10:
The following is a PBE calculation of crystalline Cs2KPtCl at its relaxed geometry, from Alexandria.

Computed properties:
DFT total energy: -2.7667 eV/atom
space-group type: P4/mmm, No. 123
total magnetization: 0.00 μB per formula unit
uncorrected formation energy: -0.628 eV/atom

Structure (POSCAR):
```
Cs2KPtCl
1.0
6.5664 0.0000 0.0000
0.0000 6.5664 0.0000
0.0000 0.0000 6.0371
Cs K Pt Cl
2 1 1 1
Cartesian
0.0000 3.2832 0.0000 Cs
3.2832 0.0000 0.0000 Cs
0.0000 0.0000 3.0186 K
0.0000 0.0000 0.0000 Pt
3.2832 3.2832 3.0186 Cl
```

***

Entry 11:
The following is a PBE calculation of crystalline PrDy4Ga4 at its relaxed geometry, from Alexandria.

Computed properties:
DFT total energy: -4.2226 eV/atom
space-group type: P4_2/n, No. 86
total magnetization: 0.00 μB per formula unit
DFT formation energy: -0.301 eV per atom

Structure (POSCAR):
```
PrDy4Ga4
1.0
-4.2229 3.5408 -1.4415
-2.0327 -5.2655 -6.9790
-5.6706 -4.6594 5.1670
Pr Dy Ga
2 8 8
Cartesian
0.0000 0.0000 0.0000 Pr
-5.9631 -3.1921 -1.6267 Pr
-7.1810 -4.7865 0.9134 Dy
-10.2088 -4.6472 -1.1295 Dy
-3.6614 -2.5065 -3.7969 Dy
-4.4527 -3.0650 2.6269 Dy
-7.6804 -4.9290 -3.7507 Dy
-4.3344 -5.9511 -4.8088 Dy
-4.8564 0.8951 -3.1955 Dy
-5.3295 -0.5464 0.1273 Dy
-5.6795 -3.5018 -5.9082 Ga
-7.2559 -2.0361 2.3102 Ga
-5.4682 -6.2560 -2.0375 Ga
-8.6006 -2.2746 -0.2114 Ga
-6.5391 -1.4150 -4.1391 Ga
-2.7188 -0.3695 -1.5078 Ga
-8.1981 -6.8610 -1.4011 Ga
-3.2443 -2.8226 -0.1189 Ga
```

***

Entry 12:
The following is a PBE calculation of crystalline CuAs4 at its relaxed geometry, from Alexandria.

Computed properties:
DFT total energy: -4.2191 eV/atom
space-group type: Im-3m, No. 229
total magnetization: 0.00 μB per formula unit
DFT formation energy: 0.320 eV per atom
energy above the most stable polymorph in this dataset: 119.7 meV/atom

Structure (POSCAR):
```
CuAs4
1.0
3.5035 3.5388 1.0412
-3.3424 -0.2548 3.8269
2.2699 -4.5168 -0.5725
Cu As
1 4
Cartesian
0.0000 0.0000 0.0000 Cu
1.7518 1.7694 0.5206 As
1.2155 -0.6164 2.1478 As
-1.6712 -0.1274 1.9134 As
1.1350 -2.2584 -0.2863 As
```

***

Which value of total magnetization does entry 7 give? 0.00 μB per formula unit